Na2TlOsO6 after structural relaxation. Source: OQMD, functional PBE.

The structure belongs to space group Fm-3m (No. 225); the cell edges are 8.111, 8.111 and 8.111 Å and the angles 90.00°, 90.00° and 90.00°. The asymmetric unit holds Na at (0.250, 0.250, 0.250), Tl at (0.000, 0.000, 0.000), Os at (0.000, 0.000, 0.500) and O at (0.000, 0.000, 0.268).

The value obtained for the energy is -5.580 eV/atom. The calculation puts the size of the total moment at 4.00 μB/cell.